1.
This record from the Alexandria database describes crystalline CuPd6Au8 at its relaxed geometry. The functional is PBE.

Summary:
V	278.8	Å³ per cell
total moment	0.000	μB per formula unit
energy	-60.34	eV/f.u.

Cell and atoms, written as CIF:
```
data_CuPd6Au8
_space_group_name_H-M_alt 'P -3'
_space_group_IT_number 147
_space_group_name_Hall '-P 3'
_cell_length_a 7.6548
_cell_length_b 7.6548
_cell_length_c 5.4935
_cell_angle_alpha 90.00
_cell_angle_beta 90.00
_cell_angle_gamma 120.00
loop_
_atom_site_label
_atom_site_type_symbol
_atom_site_fract_x
_atom_site_fract_y
_atom_site_fract_z
_atom_site_occupancy
Cu1 Cu 0.0000 0.0000 0.0000 1
Pd1 Pd 0.0192 0.6855 0.8618 1
Au1 Au 0.0164 0.6746 0.3671 1
Au2 Au 0.3333 0.6667 0.0735 1
```

***

2.
This record from the Alexandria database describes crystalline Cu2Pd7Au3 at its relaxed geometry. The functional is PBE.

Summary:
V	374.3	Å³ per cell
total moment	0.000	μB per formula unit
energy	-55.21	eV/f.u.

Cell and atoms, written as CIF:
```
data_Cu2Pd7Au3
_space_group_name_H-M_alt 'C 1 2/m 1'
_space_group_IT_number 12
_space_group_name_Hall '-C 2y'
_cell_length_a 5.5790
_cell_length_b 8.0499
_cell_length_c 8.7833
_cell_angle_alpha 90.00
_cell_angle_beta 108.39
_cell_angle_gamma 90.00
loop_
_atom_site_label
_atom_site_type_symbol
_atom_site_fract_x
_atom_site_fract_y
_atom_site_fract_z
_atom_site_occupancy
Cu1 Cu 0.1666 0.0000 0.3329 1
Pd1 Pd 0.0000 0.2500 0.5000 1
Pd2 Pd 0.0000 0.5000 0.0000 1
Pd3 Pd 0.1647 0.2501 0.8299 1
Au1 Au 0.0000 0.0000 0.0000 1
Au2 Au 0.1696 0.5000 0.3385 1
```

***

3.
This record from the Alexandria database describes crystalline Cu7PdAu3 at its relaxed geometry. The functional is PBE.

Summary:
V	343.9	Å³ per cell
total moment	0.000	μB per formula unit
energy	-41.71	eV/f.u.

Cell and atoms, written as CIF:
```
data_Cu7PdAu3
_space_group_name_H-M_alt 'C 1 2/m 1'
_space_group_IT_number 12
_space_group_name_Hall '-C 2y'
_cell_length_a 8.9058
_cell_length_b 9.3477
_cell_length_c 4.7309
_cell_angle_alpha 90.00
_cell_angle_beta 119.16
_cell_angle_gamma 90.00
loop_
_atom_site_label
_atom_site_type_symbol
_atom_site_fract_x
_atom_site_fract_y
_atom_site_fract_z
_atom_site_occupancy
Cu1 Cu 0.0000 0.0000 0.0000 1
Cu2 Cu 0.1660 0.2484 0.6621 1
Cu3 Cu 0.1781 0.5000 0.1553 1
Pd1 Pd 0.0000 0.0000 0.5000 1
Au1 Au 0.0000 0.2659 0.0000 1
Au2 Au 0.0000 0.5000 0.5000 1
```

***

4.
This record from the Alexandria database describes crystalline Cu6Pd2Au at its relaxed geometry. The functional is PBE.

Summary:
V	246.5	Å³ per cell
total moment	0.000	μB per formula unit
energy	-38.33	eV/f.u.

Cell and atoms, written as CIF:
```
data_Cu6Pd2Au
_space_group_name_H-M_alt 'P 1 21/c 1'
_space_group_IT_number 14
_space_group_name_Hall '-P 2ybc'
_cell_length_a 4.9159
_cell_length_b 7.3989
_cell_length_c 6.8810
_cell_angle_alpha 90.00
_cell_angle_beta 100.02
_cell_angle_gamma 90.00
loop_
_atom_site_label
_atom_site_type_symbol
_atom_site_fract_x
_atom_site_fract_y
_atom_site_fract_z
_atom_site_occupancy
Cu1 Cu 0.0016 0.1654 0.0064 1
Cu2 Cu 0.1572 0.0084 0.6621 1
Cu3 Cu 0.3074 0.6807 0.8177 1
Pd1 Pd 0.3390 0.1549 0.3466 1
Au1 Au 0.5000 0.0000 0.0000 1
```